[1]
# Fe2ReSeCl

A crystal of Fe2ReSeCl relaxed with PBEsol (meta-GGA SCAN, Alexandria).

Cell: 4.7321 4.7321 4.3269 Å, 90.00 90.00 90.00°
Space group P4/mmm (No. 123)
Unique sites:
Fe 0.0000 0.5000 0.0000 [2 per cell]
Re 0.0000 0.0000 0.0000 [1 per cell]
Se 0.5000 0.5000 0.5000 [1 per cell]
Cl 0.0000 0.0000 0.5000 [1 per cell]

Values from the calculation:
Calculated volume ... 97 Å³/cell
Formation energy without anion corrections ... 110.8 kJ per mole of atoms

=====

[2]
# BePPb2

A crystal of BePPb2 relaxed with PBEsol (meta-GGA SCAN, Alexandria).

Cell: 4.7862 4.7862 3.7365 Å, 90.00 90.00 90.00°
Space group P4/mmm (No. 123)
Unique sites:
Be 0.0000 0.0000 0.0000 [1 per cell]
P 0.5000 0.5000 0.0000 [1 per cell]
Pb 0.0000 0.5000 0.5000 [2 per cell]

Values from the calculation:
Calculated volume ... 86 Å³/cell
Energy of formation ... 0.67 eV/atom
Excess energy over the best structure of this formula in the dataset ... 776 meV per atom

=====

[3]
# KAlRe

A crystal of KAlRe relaxed with PBEsol (meta-GGA SCAN, Alexandria).

Cell: 2.6799 4.2103 12.1821 Å, 90.00 90.00 90.00°
Space group Imm2 (No. 44)
Unique sites:
K 0.0000 0.0000 0.0000 [2 per cell]
Al 0.0000 0.0000 0.2720 [2 per cell]
Re 0.0000 0.0000 0.7191 [2 per cell]

Values from the calculation:
Calculated volume ... 137 Å³/cell
Energy of formation ... 0.61 eV/atom
Excess energy over the best structure of this formula in the dataset ... 0 meV per atom

=====

[4]
# Ca2Mg2Zn

A crystal of Ca2Mg2Zn relaxed with PBEsol (meta-GGA SCAN, Alexandria).

Cell: 5.3006 15.4652 6.3978 Å, 90.00 90.00 90.00°
Space group Cmc2_1 (No. 36)
Unique sites:
Ca 0.0000 0.0762 0.0000 [4 per cell]
Ca 0.0000 0.3197 0.8106 [4 per cell]
Mg 0.0000 0.2901 0.3035 [4 per cell]
Mg 0.0000 0.4696 0.1712 [4 per cell]
Zn 0.0000 0.1358 0.5412 [4 per cell]

Values from the calculation:
Calculated volume ... 524 Å³/cell
Energy of formation ... -0.09 eV/atom
Excess energy over the best structure of this formula in the dataset ... 50 meV per atom

=====

[5]
# AlFeCu2

A crystal of AlFeCu2 relaxed with PBEsol (meta-GGA SCAN, Alexandria).

Cell: 3.6645 3.6645 6.9890 Å, 90.00 90.00 90.00°
Space group I-4m2 (No. 119)
Unique sites:
Al 0.0000 0.0000 0.0000 [2 per cell]
Fe 0.0000 0.5000 0.7500 [2 per cell]
Cu 0.0000 0.0000 0.5000 [2 per cell]
Cu 0.0000 0.5000 0.2500 [2 per cell]

Values from the calculation:
Calculated volume ... 94 Å³/cell
Energy of formation ... -0.14 eV/atom

=====

[6]
# K2CeI5

A crystal of K2CeI5 relaxed with PBEsol (meta-GGA SCAN, Alexandria).

Cell: 14.1386 9.7392 9.0192 Å, 90.00 90.00 90.00°
Space group Pnma (No. 62)
Unique sites:
K 0.1727 0.0049 0.0625 [8 per cell]
Ce 0.0059 0.2500 0.5802 [4 per cell]
I 0.0051 0.2500 0.9364 [4 per cell]
I 0.0768 0.5474 0.6721 [8 per cell]
I 0.1857 0.2500 0.3725 [4 per cell]
I 0.2115 0.7500 0.3381 [4 per cell]

Values from the calculation:
Calculated volume ... 1242 Å³/cell
Formation energy without anion corrections ... -156.5 kJ per mole of atoms

=====

[7]
# BeRe2

A crystal of BeRe2 relaxed with PBEsol (meta-GGA SCAN, Alexandria).

Cell: 2.8050 13.1997 4.2033 Å, 90.00 90.00 90.00°
Space group Cmcm (No. 63)
Unique sites:
Be 0.0000 0.1090 0.2500 [4 per cell]
Re 0.0000 0.2208 0.7500 [4 per cell]
Re 0.0000 0.4458 0.2500 [4 per cell]

Values from the calculation:
Calculated volume ... 156 Å³/cell
Energy of formation ... -0.05 eV/atom
Excess energy over the best structure of this formula in the dataset ... 274 meV per atom

=====

[8]
# Cd2CoHg

A crystal of Cd2CoHg relaxed with PBEsol (meta-GGA SCAN, Alexandria).

Cell: 2.9798 2.9798 28.2109 Å, 90.00 90.00 120.00°
Space group R-3m (No. 166, hexagonal axes)
Unique sites:
Cd 0.0000 0.0000 0.2393 [6 per cell]
Co 0.0000 0.0000 0.5000 [3 per cell]
Hg 0.0000 0.0000 0.0000 [3 per cell]

Values from the calculation:
Calculated volume ... 217 Å³/cell
Energy of formation ... 0.24 eV/atom

=====

Number 1: density 7.1 g cm⁻³, M_tot 7.0 Bohr magnetons per cell. Number 2: density 8.8 g cm⁻³, M_tot 0.0 Bohr magnetons per cell. Number 3: density 6.1 g cm⁻³, M_tot 0.6 Bohr magnetons per cell. Number 4: density 2.5 g cm⁻³, M_tot 0.0 Bohr magnetons per cell. Number 5: density 7.4 g cm⁻³, M_tot 4.6 Bohr magnetons per cell. Number 6: density 4.6 g cm⁻³, M_tot 4.0 Bohr magnetons per cell. Number 7: density 16.3 g cm⁻³, M_tot 0.0 Bohr magnetons per cell. Number 8: density 11.1 g cm⁻³, M_tot 5.3 Bohr magnetons per cell.